Record 1
Entry from Alexandria: crystalline FeGe2Rh4 at its relaxed geometry (PBE-GGA).

Output
The crystal system is trigonal. The value obtained for the formation energy from the elements is -398 meV per atom. The space group is R-3m, No. 166. As for the calculated density: 9.81 g/cm³.

Cell lengths 7.277, 7.277, 7.277 Å; angles 33.37, 33.37, 33.37 degrees
Atoms (fractional coordinates):
Fe 0.000 0.000 0.000
Ge 0.245 0.245 0.245
Ge 0.755 0.755 0.755
Rh 0.124 0.124 0.124
Rh 0.374 0.374 0.374
Rh 0.626 0.626 0.626
Rh 0.876 0.876 0.876

=====

Record 2
Entry from Alexandria: crystalline La2BiBr at its relaxed geometry (PBE-GGA).

Output
The crystal system is tetragonal. As for the offset from the most stable computed form: 508 meV/atom. The space group is I-42d, No. 122. As for the calculated density: 5.23 g/cm³.

Cell lengths 8.870, 8.870, 8.870 Å; angles 133.61, 133.61, 67.70 degrees
Atoms (fractional coordinates):
La 0.111 0.625 0.986
La 0.375 0.361 0.486
La 0.639 0.125 0.014
La 0.875 0.889 0.514
Bi 0.250 0.750 0.500
Bi 0.500 0.500 0.000
Br 0.000 0.000 0.000
Br 0.750 0.250 0.500

=====

Record 3
Entry from Alexandria: crystalline Ho4BiSb at its relaxed geometry (PBE-GGA).

Output
The crystal system is orthorhombic. The space group is Cmcm, No. 63. As for the calculated density: 8.66 g/cm³.

Cell lengths 11.210, 11.210, 6.341 Å; angles 90.00, 90.00, 151.52 degrees
Atoms (fractional coordinates):
Ho 0.071 0.929 0.750
Ho 0.212 0.788 0.503
Ho 0.212 0.788 0.997
Ho 0.362 0.638 0.750
Ho 0.638 0.362 0.250
Ho 0.788 0.212 0.003
Ho 0.788 0.212 0.497
Ho 0.929 0.071 0.250
Bi 0.071 0.929 0.250
Bi 0.929 0.071 0.750
Sb 0.346 0.654 0.250
Sb 0.654 0.346 0.750

=====

Record 4
Entry from Alexandria: crystalline PrAlPd at its relaxed geometry (PBE-GGA).

Output
The crystal system is hexagonal. The value obtained for the formation energy from the elements is -714 meV per atom. The space group is P-6m2, No. 187. As for the calculated density: 6.59 g/cm³.

Cell lengths 4.467, 4.467, 4.002 Å; angles 90.00, 90.00, 120.00 degrees
Atoms (fractional coordinates):
Pr 0.000 0.000 0.000
Al 0.333 0.667 0.500
Pd 0.667 0.333 0.500

=====

Across the entries above, density of states at the Fermi level takes the values 2.294; 10.795; 8.833; 2.134 states/eV per cell, respectively.
Across the entries above, VASP energy takes the values -0.5238; -0.3325; -0.3590; -0.3885 Ry per atom, respectively.